A plane-wave DFT calculation with PBE was carried out for crystalline KZnFe at its relaxed geometry.

Cell lengths 7.507, 7.507, 7.507 Å; angles 90.00, 90.00, 90.00 degrees
Positions (direct):
K 0.000 0.000 0.000
K 0.000 0.500 0.500
K 0.500 0.000 0.500
K 0.500 0.500 0.000
Zn 0.250 0.250 0.750
Zn 0.250 0.750 0.250
Zn 0.750 0.250 0.250
Zn 0.750 0.750 0.750
Fe 0.250 0.250 0.250
Fe 0.250 0.750 0.750
Fe 0.750 0.250 0.750
Fe 0.750 0.750 0.250

Output
Formation enthalpy at 0 K   1.390 eV/atom
D(E_F)   1.032 states/eV/atom
Relative energy among the computed polymorphs   849 meV/atom
Symmetry   F-43m (216)